Crystalline Sr2Zn2Sb3 at its relaxed geometry. Source: Alexandria via LeMat-Bulk, functional PBE-GGA.

Lattice parameters (Å, degrees): 9.003 9.003 12.806 125.29 125.29 29.81
Element x y z (fractional)
Sr (0.099, 0.099, 0.441)
Sr (0.239, 0.239, 0.843)
Sr (0.761, 0.761, 0.157)
Sr (0.901, 0.901, 0.559)
Zn (0.094, 0.094, 0.156)
Zn (0.461, 0.461, 0.192)
Zn (0.539, 0.539, 0.808)
Zn (0.906, 0.906, 0.844)
Sb (0.107, 0.107, 0.954)
Sb (0.343, 0.343, 0.696)
Sb (0.415, 0.415, 0.367)
Sb (0.585, 0.585, 0.633)
Sb (0.657, 0.657, 0.304)
Sb (0.893, 0.893, 0.046)

Values from the calculation:
SG: No. 12
D(E_F) in states/eV per atom: 0.0733
Formation energy (no corrections) in meV/atom: -633
ρ in g/cm3: 5.4